# 1
La4In16Co3: relaxed, PBE.

Values from the calculation:
E_form in eV per atom: -0.33
E_tot in eV/cell: -92.3

```
La4In16Co3
1.0
6.6857 0.0000 0.0000
0.0000 6.6857 0.0000
0.0000 0.0000 12.4502
In La Co
16 4 3
direct
0.2502 0.7498 0.6150
0.7277 0.7277 0.0000
0.5000 0.5000 0.1954
0.2502 0.2502 0.6150
0.7498 0.2502 0.6150
0.7498 0.7498 0.6150
0.0000 0.0000 0.7895
0.7277 0.2723 0.0000
0.2502 0.2502 0.3850
0.7498 0.7498 0.3850
0.7498 0.2502 0.3850
0.2723 0.2723 0.0000
0.5000 0.5000 0.8046
0.2723 0.7277 0.0000
0.2502 0.7498 0.3850
0.0000 0.0000 0.2105
0.0000 0.5000 0.1966
0.5000 0.0000 0.1966
0.0000 0.5000 0.8034
0.5000 0.0000 0.8034
0.5000 0.0000 0.5000
0.0000 0.5000 0.5000
0.0000 0.0000 0.0000
```


# 2
Mg4CuPd7: relaxed, PBE.

Values from the calculation:
E_form in eV per atom: -0.31
E_tot in eV/cell: -50.5

```
Mg4CuPd7
1.0
4.7708 0.0000 0.0000
2.3854 8.4901 0.0664
2.3854 0.4816 5.1479
Mg Pd Cu
4 7 1
direct
0.2318 0.3347 0.2018
0.4103 0.7740 0.4053
0.7682 0.6653 0.7982
0.5897 0.2260 0.5947
0.5000 0.0000 0.0000
0.6350 0.4879 0.2420
0.3650 0.5121 0.7580
0.7943 0.9242 0.4871
0.2057 0.0758 0.5129
0.9280 0.3111 0.8328
0.0720 0.6889 0.1672
0.0000 0.0000 0.0000
```


# 3
Sn2SbBr: relaxed, PBE.

Values from the calculation:
Offset from the most stable computed form in eV/atom: 0.148
E_tot in eV/cell: -28.3

```
Sn2SbBr
1.0
-4.5161 -2.1224 -1.4261
3.2649 -4.1252 -4.1997
-0.9587 -3.1628 7.7507
Br Sn Sb
2 4 2
direct
0.7500 0.2203 0.4408
0.2500 0.7797 0.5592
0.7500 0.6397 0.7895
0.2500 0.3604 0.2105
0.2500 0.8502 0.2106
0.7500 0.1498 0.7894
0.7498 0.5697 0.1392
0.2502 0.4303 0.8608
```


# 4
Rb2PtC4I2N4: relaxed, PBE.

Values from the calculation:
E_tot in eV/cell: -166.8

```
Rb2PtC4I2N4
1.0
-4.2727 -2.2588 -8.7433
4.6224 -5.9829 -0.7132
-4.1708 -7.3628 3.9403
Pt I C Rb N
2 4 8 4 8
direct
0.5000 0.0000 0.5000
0.0000 0.0000 0.0000
0.7621 0.1053 0.4709
0.7379 0.1053 0.9709
0.2621 0.8947 0.0291
0.2379 0.8947 0.5291
0.0393 0.1932 0.8015
0.5393 0.8068 0.6985
0.9607 0.8068 0.1985
0.4599 0.1903 0.6045
0.4607 0.1932 0.3015
0.9599 0.8097 0.8955
0.5401 0.8097 0.3955
0.0401 0.1903 0.1045
0.2044 0.4582 0.3850
0.7044 0.5418 0.1150
0.2956 0.4582 0.8850
0.7956 0.5418 0.6150
0.9378 0.6893 0.3112
0.0622 0.3107 0.6888
0.9328 0.6963 0.8391
0.5622 0.6893 0.8112
0.4378 0.3107 0.1888
0.4328 0.3037 0.6609
0.0672 0.3037 0.1609
0.5672 0.6963 0.3391
```